# CuPbCS2

A relaxed CuPbCS2 crystal (PBE-GGA, Alexandria).

```
CuPbCS2
1.0
4.3714 0.0000 0.0000
0.0000 4.3714 0.0000
0.0000 0.0000 5.7104
Cu Pb C S
1 1 1 2
direct
0.0000 0.0000 0.0000
0.0000 0.0000 0.5000
0.5000 0.5000 0.5000
0.0000 0.5000 0.0000
0.5000 0.0000 0.0000
```

Results
Space group: P4/mmm (123)
Crystal system: tetragonal
Total moment (Bohr magnetons per cell): 1.87
Formation energy (no corrections) (eV per atom): 1.498
Fermi-level density of states (states/eV per cell): 5.038

=====

# YAs2Pt

A relaxed YAs2Pt crystal (PBE-GGA, Alexandria).

```
YAs2Pt
1.0
4.5035 0.0000 0.0000
0.0000 4.5035 0.0000
0.0000 0.0000 3.7586
Y As Pt
1 2 1
direct
0.0000 0.0000 0.0000
0.0000 0.5000 0.5000
0.5000 0.0000 0.5000
0.5000 0.5000 0.0000
```

Results
Space group: P4/mmm (123)
Crystal system: tetragonal
Total moment (Bohr magnetons per cell): 0.00
Energy relative to the elements (eV/atom): -0.698
Fermi-level density of states (states/eV per cell): 1.545

=====

# Sr2Te2Pt

A relaxed Sr2Te2Pt crystal (PBE-GGA, Alexandria).

```
Sr2Te2Pt
1.0
-2.1742 2.1742 8.7508
2.1742 -2.1742 8.7508
2.1742 2.1742 -8.7508
Sr Te Pt
2 2 1
direct
0.0990 0.0990 0.0000
0.9010 0.9010 0.0000
0.2500 0.7500 0.5000
0.7500 0.2500 0.5000
0.5000 0.5000 0.0000
```

Results
Space group: I4/mmm (139)
Crystal system: tetragonal
Total moment (Bohr magnetons per cell): 0.00
Formation energy (no corrections) (eV per atom): -0.601
Energy relative to the lowest polymorph listed for this composition (meV/atom): 33
Fermi-level density of states (states/eV per cell): 3.160

=====

# Be2InFeRh

A relaxed Be2InFeRh crystal (PBE-GGA, Alexandria).

```
Be2InFeRh
1.0
4.1667 0.0000 0.0000
0.0000 4.1667 0.0000
0.0000 0.0000 5.0180
Be In Fe Rh
2 1 1 1
direct
0.0000 0.5000 0.0000
0.5000 0.0000 0.0000
0.0000 0.0000 0.5000
0.5000 0.5000 0.5000
0.0000 0.0000 0.0000
```

Results
Space group: P4/mmm (123)
Crystal system: tetragonal
Total moment (Bohr magnetons per cell): 3.10
Energy relative to the elements (eV/atom): 0.650
Fermi-level density of states (states/eV per cell): 4.444

=====

# Ga4Ir

A relaxed Ga4Ir crystal (PBE-GGA, Alexandria).

```
Ga4Ir
1.0
4.8257 0.0000 0.0000
0.0000 4.8257 0.0000
0.0000 0.0000 4.8257
Ga Ir
4 1
direct
0.0000 0.0000 0.0000
0.0000 0.5000 0.5000
0.5000 0.0000 0.5000
0.5000 0.5000 0.0000
0.5000 0.5000 0.5000
```

Results
Space group: Pm-3m (221)
Crystal system: cubic
Total moment (Bohr magnetons per cell): 0.00
Energy relative to the lowest polymorph listed for this composition (meV/atom): 147
Energy relative to the elements (eV/atom): -0.083
Fermi-level density of states (states/eV per cell): 2.362

=====

# LiTlIn2Br6

A relaxed LiTlIn2Br6 crystal (PBE-GGA, Alexandria).

```
LiTlIn2Br6
1.0
7.4174 0.0000 0.0000
2.6813 6.9464 0.0000
3.2942 2.0962 7.0388
Li Tl In Br
1 1 2 6
direct
0.0000 0.0000 0.0000
0.6321 0.3300 0.5905
0.3491 0.9812 0.4235
0.8460 0.4950 0.9383
0.0090 0.1810 0.2199
0.1121 0.6985 0.8752
0.1494 0.2715 0.6971
0.5383 0.6546 0.2008
0.6322 0.2085 0.0276
0.7058 0.7328 0.6478
```

Results
Space group: P1 (1)
Crystal system: triclinic
Total moment (Bohr magnetons per cell): 0.00
Formation energy (no corrections) (eV per atom): -0.906

=====

# MnReSe2S

A relaxed MnReSe2S crystal (PBE-GGA, Alexandria).

```
MnReSe2S
1.0
4.9314 0.0000 0.0000
0.0000 4.9314 0.0000
0.0000 0.0000 4.2663
Mn Re Se S
1 1 2 1
direct
0.0000 0.0000 0.0000
0.5000 0.5000 0.5000
0.0000 0.5000 0.0000
0.5000 0.0000 0.0000
0.0000 0.0000 0.5000
```

Results
Space group: P4/mmm (123)
Crystal system: tetragonal
Total moment (Bohr magnetons per cell): 7.31
Formation energy (no corrections) (eV per atom): 1.026
Fermi-level density of states (states/eV per cell): 4.966

=====

# H3OsRu

A relaxed H3OsRu crystal (PBE-GGA, Alexandria).

```
H3OsRu
1.0
3.4171 0.0000 0.0000
0.0000 3.4171 0.0000
0.0000 0.0000 3.4171
H Os Ru
3 1 1
direct
0.0000 0.0000 0.5000
0.0000 0.5000 0.0000
0.5000 0.0000 0.0000
0.0000 0.0000 0.0000
0.5000 0.5000 0.5000
```

Results
Space group: Pm-3m (221)
Crystal system: cubic
Total moment (Bohr magnetons per cell): 0.95
Energy relative to the lowest polymorph listed for this composition (meV/atom): 0
Fermi-level density of states (states/eV per cell): 2.583

=====

# SmPuI2

A relaxed SmPuI2 crystal (PBE-GGA, Alexandria).

```
SmPuI2
1.0
1.9345 1.1169 11.0071
-1.9345 1.1169 11.0071
0.0000 -2.2338 11.0071
Sm Pu I
1 1 2
direct
0.0000 0.0000 0.0000
0.5000 0.5000 0.5000
0.4017 0.4017 0.4017
0.5983 0.5983 0.5983
```

Results
Space group: R-3m (166)
Crystal system: trigonal
Total moment (Bohr magnetons per cell): 6.95
Formation energy (no corrections) (eV per atom): -0.569
Fermi-level density of states (states/eV per cell): 12.163

=====

# HoPuSb2

A relaxed HoPuSb2 crystal (PBE-GGA, Alexandria).

```
HoPuSb2
1.0
5.6798 0.0000 0.0000
0.0000 5.6798 0.0000
0.0000 0.0000 3.3023
Ho Pu Sb
1 1 2
direct
0.0000 0.0000 0.0000
0.5000 0.5000 0.0000
0.0000 0.5000 0.5000
0.5000 0.0000 0.5000
```

Results
Space group: P4/mmm (123)
Crystal system: tetragonal
Total moment (Bohr magnetons per cell): 5.81
Formation energy (no corrections) (eV per atom): -0.694
Energy relative to the lowest polymorph listed for this composition (meV/atom): 160
Fermi-level density of states (states/eV per cell): 10.267

=====

# Pr3NdTm6Th2

A relaxed Pr3NdTm6Th2 crystal (PBE-GGA, Alexandria).

```
Pr3NdTm6Th2
1.0
3.1099 -5.3842 0.0000
3.1099 5.3842 0.0000
-2.0818 0.0000 11.5158
Pr Nd Tm Th
3 1 6 2
direct
0.0000 0.0000 0.0000
0.3339 0.6661 0.0000
0.6661 0.3339 0.0000
0.5000 0.5000 0.5000
0.0796 0.4181 0.2551
0.2436 0.2436 0.7451
0.4181 0.0796 0.2551
0.5819 0.9204 0.7449
0.7564 0.7564 0.2549
0.9204 0.5819 0.7449
0.1666 0.8334 0.5000
0.8334 0.1666 0.5000
```

Results
Space group: C2/m (12)
Crystal system: monoclinic
Total moment (Bohr magnetons per cell): 0.00
Energy relative to the elements (eV/atom): 0.027
Fermi-level density of states (states/eV per cell): 15.502

=====

# Ba2AuI2O2

A relaxed Ba2AuI2O2 crystal (PBE-GGA, Alexandria).

```
Ba2AuI2O2
1.0
-2.2006 2.2006 10.6866
2.2006 -2.2006 10.6866
2.2006 2.2006 -10.6866
Ba Au I O
2 1 2 2
direct
0.0863 0.0863 0.0000
0.9137 0.9137 0.0000
0.5000 0.5000 0.0000
0.3309 0.3309 0.0000
0.6691 0.6691 0.0000
0.0000 0.5000 0.5000
0.5000 0.0000 0.5000
```

Results
Space group: I4/mmm (139)
Crystal system: tetragonal
Total moment (Bohr magnetons per cell): 0.00
Formation energy (no corrections) (eV per atom): -1.552
Fermi-level density of states (states/eV per cell): 1.893

=====

# ZrAlCu2

A relaxed ZrAlCu2 crystal (PBE-GGA, Alexandria).

```
ZrAlCu2
1.0
2.0704 -4.9542 0.0000
2.0704 4.9542 0.0000
0.0000 0.0000 6.1155
Zr Al Cu
2 2 4
direct
0.0836 0.9164 0.7500
0.9164 0.0836 0.2500
0.2040 0.7960 0.2500
0.7960 0.2040 0.7500
0.3778 0.6222 0.5511
0.3778 0.6222 0.9489
0.6222 0.3778 0.0511
0.6222 0.3778 0.4489
```

Results
Space group: Cmcm (63)
Crystal system: orthorhombic
Total moment (Bohr magnetons per cell): 0.00
Energy relative to the elements (eV/atom): -0.278
Fermi-level density of states (states/eV per cell): 5.890

=====

# AcW2N6

A relaxed AcW2N6 crystal (PBE-GGA, Alexandria).

```
AcW2N6
1.0
5.5205 0.0000 0.0000
-2.7602 4.7809 0.0000
0.0000 0.0000 4.7155
Ac W N
1 2 6
direct
0.0000 0.0000 0.0000
0.3333 0.6667 0.5000
0.6667 0.3333 0.5000
0.0000 0.4363 0.7470
0.0000 0.5637 0.2530
0.4363 0.0000 0.7470
0.4363 0.4363 0.2530
0.5637 0.0000 0.2530
0.5637 0.5637 0.7470
```

Results
Space group: P-31m (162)
Crystal system: trigonal
Total moment (Bohr magnetons per cell): 0.00
Formation energy (no corrections) (eV per atom): -0.023
Fermi-level density of states (states/eV per cell): 3.003

=====

# SrTcN3

A relaxed SrTcN3 crystal (PBE-GGA, Alexandria).

```
SrTcN3
1.0
4.5969 0.0000 0.0000
-2.0195 5.8865 0.0000
-1.0896 -2.0190 5.8581
Sr Tc N
2 2 6
direct
0.0000 0.0000 0.0000
0.3379 0.8177 0.4898
0.5321 0.5104 0.0834
0.9081 0.4434 0.8079
0.0215 0.2578 0.5782
0.0696 0.1232 0.4323
0.2975 0.6983 0.0475
0.5717 0.2178 0.8751
0.7051 0.5724 0.3870
0.7756 0.6357 0.6079
```

Results
Space group: P1 (1)
Crystal system: triclinic
Total moment (Bohr magnetons per cell): 0.00
Formation energy (no corrections) (eV per atom): -0.290
Fermi-level density of states (states/eV per cell): 0.000

=====

# Al2VPt

A relaxed Al2VPt crystal (PBE-GGA, Alexandria).

```
Al2VPt
1.0
0.0000 3.0755 3.0755
3.0755 0.0000 3.0755
3.0755 3.0755 0.0000
Al V Pt
2 1 1
direct
0.2500 0.2500 0.2500
0.7500 0.7500 0.7500
0.0000 0.0000 0.0000
0.5000 0.5000 0.5000
```

Results
Space group: Fm-3m (225)
Crystal system: cubic
Total moment (Bohr magnetons per cell): 2.69
Energy relative to the elements (eV/atom): -0.594
Fermi-level density of states (states/eV per cell): 1.320

=====

# Ag2MoOs

A relaxed Ag2MoOs crystal (PBE-GGA, Alexandria).

```
Ag2MoOs
1.0
4.5908 -1.3579 0.0000
4.5908 1.3579 0.0000
-0.5658 0.0000 5.2478
Ag Mo Os
2 1 1
direct
0.0000 0.0000 0.0000
0.2504 0.2504 0.7839
0.4997 0.4997 0.4833
0.7438 0.7438 0.3015
```

Results
Space group: Cm (8)
Crystal system: monoclinic
Total moment (Bohr magnetons per cell): 0.00
Energy relative to the lowest polymorph listed for this composition (meV/atom): 317
Energy relative to the elements (eV/atom): 0.560
Fermi-level density of states (states/eV per cell): 2.872

=====

# Cd4InOs

A relaxed Cd4InOs crystal (PBE-GGA, Alexandria).

```
Cd4InOs
1.0
0.0000 3.9447 3.9447
3.9447 0.0000 3.9447
3.9447 3.9447 0.0000
Cd In Os
4 1 1
direct
0.3756 0.3756 0.3756
0.3756 0.3756 0.8731
0.3756 0.8731 0.3756
0.8731 0.3756 0.3756
0.0000 0.0000 0.0000
0.7500 0.7500 0.7500
```

Results
Space group: F-43m (216)
Crystal system: cubic
Total moment (Bohr magnetons per cell): 0.01
Energy relative to the elements (eV/atom): 0.629
Fermi-level density of states (states/eV per cell): 5.832

=====

# La4Ce3MoN8

A relaxed La4Ce3MoN8 crystal (PBE-GGA, Alexandria).

```
La4Ce3MoN8
1.0
3.5435 2.0459 5.8871
-3.5435 2.0459 5.8871
0.0000 -4.0917 5.8871
La Ce Mo N
4 3 1 8
direct
0.0000 0.0000 0.0000
0.0000 0.5000 0.5000
0.5000 0.0000 0.5000
0.5000 0.5000 0.0000
0.0000 0.0000 0.5000
0.0000 0.5000 0.0000
0.5000 0.0000 0.0000
0.5000 0.5000 0.5000
0.2412 0.2412 0.2412
0.2584 0.7286 0.7286
0.2714 0.2714 0.7416
0.2714 0.7416 0.2714
0.7286 0.2584 0.7286
0.7286 0.7286 0.2584
0.7416 0.2714 0.2714
0.7588 0.7588 0.7588
```

Results
Space group: R-3m (166)
Crystal system: trigonal
Total moment (Bohr magnetons per cell): 0.00
Formation energy (no corrections) (eV per atom): -1.224
Fermi-level density of states (states/eV per cell): 11.692

=====

# NiPd3Br9

A relaxed NiPd3Br9 crystal (PBE-GGA, Alexandria).

```
NiPd3Br9
1.0
9.9946 -3.4927 0.0000
9.9946 3.4927 0.0000
-7.1943 0.0000 10.8473
Ni Pd Br
2 6 18
direct
0.1495 0.8505 0.5000
0.8505 0.1495 0.0000
0.0932 0.6276 0.6465
0.1933 0.2663 0.8004
0.2663 0.1933 0.3004
0.4721 0.7600 0.2952
0.6276 0.0932 0.1465
0.7600 0.4721 0.7952
0.1106 0.2009 0.8989
0.2009 0.1106 0.3989
0.2403 0.9625 0.1033
0.3024 0.3063 0.2026
0.3063 0.3024 0.7026
0.3225 0.3949 0.4955
0.3681 0.6567 0.3631
0.3949 0.3225 0.9955
0.4449 0.7549 0.6792
0.6567 0.3681 0.8631
0.6808 0.7595 0.9860
0.7549 0.4449 0.1792
0.7595 0.6808 0.4860
0.8442 0.9283 0.3273
0.9260 0.9584 0.1101
0.9283 0.8442 0.8273
0.9584 0.9260 0.6101
0.9625 0.2403 0.6033
```

Results
Space group: Cc (9)
Crystal system: monoclinic
Total moment (Bohr magnetons per cell): 2.81
Formation energy (no corrections) (eV per atom): -0.166
Fermi-level density of states (states/eV per cell): 11.049